[1]
# ZrZnSiP2

Crystalline ZrZnSiP2 at its relaxed geometry (PBE-GGA, Alexandria via LeMat-Bulk).

Calculated values
**Energy relative to the elements, uncorrected**: 642 meV/atom
**E_tot**: -22.9 eV for the cell shown

Cell: 4.639 4.639 4.470 Å, 90.00 90.00 90.00°
Space group P4/mmm (No. 123)
One atom of each set of equivalent atoms:
Zr 0.000 0.000 0.000 x1
Zn 0.500 0.500 0.500 x1
Si 0.500 0.500 0.000 x1
P 0.000 0.500 0.500 x2

[2]
# ZrSiP2

Crystalline ZrSiP2 at its relaxed geometry (PBE-GGA, Alexandria via LeMat-Bulk).

Calculated values
**Energy relative to the elements, uncorrected**: -138 meV/atom
**E_tot**: -50.7 eV for the cell shown

Cell: 3.658 5.063 7.327 Å, 90.00 90.00 90.00°
Space group Cmmm (No. 65)
One atom of each set of equivalent atoms:
Zr 0.000 0.000 0.000 x2
Si 0.000 0.000 0.500 x2
P 0.000 0.500 0.255 x4

[3]
# Zr2SiP

Crystalline Zr2SiP at its relaxed geometry (PBE-GGA, Alexandria via LeMat-Bulk).

Calculated values
**Energy relative to the elements, uncorrected**: -443 meV/atom
**E_tot**: -29.7 eV for the cell shown
**Energy above the most stable polymorph in this dataset**: 583.9 meV per atom

Cell: 3.216 3.216 7.080 Å, 90.00 90.00 90.00°
Space group P4mm (No. 99)
One atom of each set of equivalent atoms:
Zr 0.000 0.000 0.000 x1
Zr 0.500 0.500 0.389 x1
Si 0.500 0.500 0.770 x1
P 0.000 0.000 0.601 x1

[4]
# ZrSi2P

Crystalline ZrSi2P at its relaxed geometry (PBE-GGA, Alexandria via LeMat-Bulk).

Calculated values
**Energy relative to the elements, uncorrected**: -292 meV/atom
**E_tot**: -51.9 eV for the cell shown

Cell: 3.366 4.733 8.061 Å, 90.00 90.00 90.00°
Space group Imm2 (No. 44)
One atom of each set of equivalent atoms:
Zr 0.000 0.000 0.000 x2
Si 0.000 0.000 0.494 x2
Si 0.000 0.500 0.221 x2
P 0.000 0.500 0.779 x2

[5]
# ZrSi2P

Crystalline ZrSi2P at its relaxed geometry (PBE-GGA, Alexandria via LeMat-Bulk).

Calculated values
**Energy relative to the elements, uncorrected**: -81 meV/atom
**E_tot**: -100.5 eV for the cell shown

Cell: 7.109 7.109 5.335 Å, 90.00 90.00 90.00°
Space group I-42d (No. 122)
One atom of each set of equivalent atoms:
Zr 0.000 0.000 0.000 x4
Si 0.212 0.250 0.625 x8
P 0.000 0.000 0.500 x4

[6]
# ZrSiP2

Crystalline ZrSiP2 at its relaxed geometry (PBE-GGA, Alexandria via LeMat-Bulk).

Calculated values
**Energy relative to the elements, uncorrected**: -331 meV/atom
**E_tot**: -26.1 eV for the cell shown

Cell: 3.469 3.469 5.418 Å, 90.00 90.00 90.00°
Space group P4/mmm (No. 123)
One atom of each set of equivalent atoms:
Zr 0.000 0.000 0.000 x1
Si 0.000 0.000 0.500 x1
P 0.500 0.500 0.249 x2

[7]
# ZrSiP2

Crystalline ZrSiP2 at its relaxed geometry (PBE-GGA, Alexandria via LeMat-Bulk).

Calculated values
**Energy relative to the elements, uncorrected**: -496 meV/atom
**E_tot**: -26.8 eV for the cell shown

Cell: 3.646 3.646 5.436 Å, 90.00 90.00 90.00°
Space group P4mm (No. 99)
One atom of each set of equivalent atoms:
Zr 0.000 0.000 0.000 x1
Si 0.500 0.500 0.594 x1
P 0.000 0.000 0.510 x1
P 0.500 0.500 0.030 x1

[8]
# ZrSi2P

Crystalline ZrSi2P at its relaxed geometry (PBE-GGA, Alexandria via LeMat-Bulk).

Calculated values
**Energy relative to the elements, uncorrected**: 145 meV/atom
**E_tot**: -96.9 eV for the cell shown

Cell: 6.457 6.457 6.457 Å, 90.00 90.00 90.00°
Space group F-43m (No. 216)
One atom of each set of equivalent atoms:
Zr 0.000 0.000 0.000 x4
Si 0.000 0.000 0.500 x4
Si 0.250 0.250 0.250 x4
P 0.250 0.250 0.750 x4

[9]
# ZrSiP2

Crystalline ZrSiP2 at its relaxed geometry (PBE-GGA, Alexandria via LeMat-Bulk).

Calculated values
**Energy relative to the elements, uncorrected**: -515 meV/atom
**E_tot**: -80.6 eV for the cell shown

Cell: 3.5334 3.5334 18.9628 Å, 90.00 90.00 120.00°
Space group R-3m (No. 166, hexagonal axes)
One atom of each set of equivalent atoms:
Zr 0.0000 0.0000 0.0000 x3
Si 0.0000 0.0000 0.5000 x3
P 0.0000 0.0000 0.2420 x6

[10]
# ZrSi2P

Crystalline ZrSi2P at its relaxed geometry (PBE-GGA, Alexandria via LeMat-Bulk).

Calculated values
**Energy relative to the elements, uncorrected**: 104 meV/atom
**E_tot**: -48.8 eV for the cell shown

Cell: 3.635 4.653 7.715 Å, 90.00 90.00 90.00°
Space group Cmmm (No. 65)
One atom of each set of equivalent atoms:
Zr 0.000 0.000 0.000 x2
Si 0.000 0.500 0.269 x4
P 0.000 0.000 0.500 x2

[11]
# ZrSiP2

Crystalline ZrSiP2 at its relaxed geometry (PBE-GGA, Alexandria via LeMat-Bulk).

Calculated values
**Energy relative to the elements, uncorrected**: -222 meV/atom
**E_tot**: -25.7 eV for the cell shown

Cell: 4.362 4.362 3.356 Å, 90.00 90.00 90.00°
Space group P4/mmm (No. 123)
One atom of each set of equivalent atoms:
Zr 0.000 0.000 0.000 x1
Si 0.500 0.500 0.000 x1
P 0.000 0.500 0.500 x2

[12]
# ZrSiP2

Crystalline ZrSiP2 at its relaxed geometry (PBE-GGA, Alexandria via LeMat-Bulk).

Calculated values
**Energy relative to the elements, uncorrected**: -454 meV/atom
**E_tot**: -53.2 eV for the cell shown

Cell: 3.385 4.815 7.780 Å, 90.00 90.00 90.00°
Space group Immm (No. 71)
One atom of each set of equivalent atoms:
Zr 0.000 0.000 0.000 x2
Si 0.000 0.000 0.500 x2
P 0.000 0.500 0.211 x4

[13]
# ZrSiP

Crystalline ZrSiP at its relaxed geometry (PBE-GGA, Alexandria via LeMat-Bulk).

Calculated values
**Energy relative to the elements, uncorrected**: -603 meV/atom
**E_tot**: -42.4 eV for the cell shown

Cell: 3.357 3.357 8.625 Å, 90.00 90.00 90.00°
Space group I4mm (No. 107)
One atom of each set of equivalent atoms:
Zr 0.000 0.000 0.000 x2
Si 0.000 0.000 0.680 x2
P 0.000 0.000 0.336 x2

[14]
# ZrSi2P

Crystalline ZrSi2P at its relaxed geometry (PBE-GGA, Alexandria via LeMat-Bulk).

Calculated values
**Energy relative to the elements, uncorrected**: 151 meV/atom
**E_tot**: -24.2 eV for the cell shown

Cell: 2.897 2.897 7.648 Å, 90.00 90.00 90.00°
Space group P4/mmm (No. 123)
One atom of each set of equivalent atoms:
Zr 0.000 0.000 0.000 x1
Si 0.500 0.500 0.269 x2
P 0.000 0.000 0.500 x1

[15]
# ZrSiP2

Crystalline ZrSiP2 at its relaxed geometry (PBE-GGA, Alexandria via LeMat-Bulk).

Calculated values
**Energy relative to the elements, uncorrected**: -261 meV/atom
**E_tot**: -51.7 eV for the cell shown

Cell: 5.522 6.941 3.385 Å, 90.00 90.12 90.00°
Space group C2/m (No. 12)
One atom of each set of equivalent atoms:
Zr 0.000 0.000 0.000 x2
Si 0.000 0.500 0.000 x2
P 0.250 0.250 0.500 x4

[16]
# ZrSi2P

Crystalline ZrSi2P at its relaxed geometry (PBE-GGA, Alexandria via LeMat-Bulk).

Calculated values
**Energy relative to the elements, uncorrected**: 55 meV/atom
**E_tot**: -24.6 eV for the cell shown

Cell: 2.954 2.954 7.522 Å, 90.00 90.00 90.00°
Space group P4mm (No. 99)
One atom of each set of equivalent atoms:
Zr 0.000 0.000 0.000 x1
Si 0.000 0.000 0.506 x1
Si 0.500 0.500 0.731 x1
P 0.500 0.500 0.255 x1

[17]
# ZrSi2P

Crystalline ZrSi2P at its relaxed geometry (PBE-GGA, Alexandria via LeMat-Bulk).

Calculated values
**Energy relative to the elements, uncorrected**: -321 meV/atom
**E_tot**: -26.1 eV for the cell shown

Cell: 3.514 3.514 5.308 Å, 90.00 90.00 90.00°
Space group P4mm (No. 99)
One atom of each set of equivalent atoms:
Zr 0.000 0.000 0.000 x1
Si 0.000 0.000 0.508 x1
Si 0.500 0.500 0.695 x1
P 0.500 0.500 0.233 x1

[18]
# ZrSi3P

Crystalline ZrSi3P at its relaxed geometry (PBE-GGA, Alexandria via LeMat-Bulk).

Calculated values
**Energy relative to the elements, uncorrected**: 1282 meV/atom
**E_tot**: -23.8 eV for the cell shown
**Energy above the most stable polymorph in this dataset**: 700.8 meV per atom

Cell: 5.072 5.072 5.072 Å, 90.00 90.00 90.00°
Space group Pm-3m (No. 221)
One atom of each set of equivalent atoms:
Zr 0.000 0.000 0.000 x1
Si 0.000 0.000 0.500 x3
P 0.500 0.500 0.500 x1

[19]
# Zr5Si2P2

Crystalline Zr5Si2P2 at its relaxed geometry (PBE-GGA, Alexandria via LeMat-Bulk).

Calculated values
**Energy relative to the elements, uncorrected**: -1121 meV/atom
**E_tot**: -298.0 eV for the cell shown

Cell: 13.441 7.048 7.001 Å, 90.00 90.00 90.00°
Space group Cmce (No. 64)
One atom of each set of equivalent atoms:
Zr 0.000 0.000 0.000 x4
Zr 0.139 0.167 0.336 x16
Si 0.000 0.125 0.625 x8
P 0.200 0.000 0.000 x8

[20]
# ZrSiP

Crystalline ZrSiP at its relaxed geometry (PBE-GGA, Alexandria via LeMat-Bulk).

Calculated values
**Energy relative to the elements, uncorrected**: -234 meV/atom
**E_tot**: -20.1 eV for the cell shown

Cell: 4.5736 4.5736 2.7328 Å, 90.00 90.00 120.00°
Space group P3m1 (No. 156)
One atom of each set of equivalent atoms:
Zr 0.0000 0.0000 0.0000 x1
Si 0.3333 0.6667 0.4548 x1
P 0.6667 0.3333 0.4342 x1

[21]
# ZrSi2P

Crystalline ZrSi2P at its relaxed geometry (PBE-GGA, Alexandria via LeMat-Bulk).

Calculated values
**Energy relative to the elements, uncorrected**: -79 meV/atom
**E_tot**: -50.2 eV for the cell shown

Cell: 5.240 7.542 3.352 Å, 90.00 90.00 90.00°
Space group Cmmm (No. 65)
One atom of each set of equivalent atoms:
Zr 0.000 0.000 0.000 x2
Si 0.250 0.250 0.500 x4
P 0.000 0.500 0.000 x2

[22]
# ZrSi2P

Crystalline ZrSi2P at its relaxed geometry (PBE-GGA, Alexandria via LeMat-Bulk).

Calculated values
**Energy relative to the elements, uncorrected**: -256 meV/atom
**E_tot**: -25.8 eV for the cell shown

Cell: 3.517 3.517 5.259 Å, 90.00 90.00 90.00°
Space group P4/mmm (No. 123)
One atom of each set of equivalent atoms:
Zr 0.000 0.000 0.000 x1
Si 0.500 0.500 0.267 x2
P 0.000 0.000 0.500 x1

[23]
# ZrSiP2

Crystalline ZrSiP2 at its relaxed geometry (PBE-GGA, Alexandria via LeMat-Bulk).

Calculated values
**Energy relative to the elements, uncorrected**: -120 meV/atom
**E_tot**: -50.5 eV for the cell shown

Cell: 3.891 3.891 8.619 Å, 90.00 90.00 90.00°
Space group I4/mmm (No. 139)
One atom of each set of equivalent atoms:
Zr 0.000 0.000 0.000 x2
Si 0.000 0.000 0.500 x2
P 0.000 0.500 0.250 x4

[24]
# Zr2SiP

Crystalline Zr2SiP at its relaxed geometry (PBE-GGA, Alexandria via LeMat-Bulk).

Calculated values
**Energy relative to the elements, uncorrected**: -1027 meV/atom
**E_tot**: -32.0 eV for the cell shown
**Energy above the most stable polymorph in this dataset**: 0.0 meV per atom

Cell: 3.779 3.779 5.365 Å, 90.00 90.00 90.00°
Space group P4/mmm (No. 123)
One atom of each set of equivalent atoms:
Zr 0.000 0.000 0.000 x1
Zr 0.500 0.500 0.500 x1
Si 0.000 0.000 0.500 x1
P 0.500 0.500 0.000 x1

[25]
# ZrSi2P

Crystalline ZrSi2P at its relaxed geometry (PBE-GGA, Alexandria via LeMat-Bulk).

Calculated values
**Energy relative to the elements, uncorrected**: -143 meV/atom
**E_tot**: -50.7 eV for the cell shown

Cell: 3.844 3.844 8.791 Å, 90.00 90.00 90.00°
Space group I-4m2 (No. 119)
One atom of each set of equivalent atoms:
Zr 0.000 0.000 0.000 x2
Si 0.000 0.000 0.500 x2
Si 0.000 0.500 0.250 x2
P 0.000 0.500 0.750 x2

[26]
# ZrSi2P

Crystalline ZrSi2P at its relaxed geometry (PBE-GGA, Alexandria via LeMat-Bulk).

Calculated values
**Energy relative to the elements, uncorrected**: -352 meV/atom
**E_tot**: -52.4 eV for the cell shown

Cell: 10.233 3.553 3.808 Å, 90.00 90.06 90.00°
Space group Cm (No. 8)
One atom of each set of equivalent atoms:
Zr 0.000 0.000 0.000 x2
Si 0.081 0.500 0.500 x2
Si 0.306 0.500 0.499 x2
P 0.292 0.000 0.001 x2

[27]
# Zr2SiP

Crystalline Zr2SiP at its relaxed geometry (PBE-GGA, Alexandria via LeMat-Bulk).

Calculated values
**Energy relative to the elements, uncorrected**: -563 meV/atom
**E_tot**: -120.7 eV for the cell shown
**Energy above the most stable polymorph in this dataset**: 463.5 meV per atom

Cell: 6.596 6.596 6.596 Å, 90.00 90.00 90.00°
Space group Fm-3m (No. 225)
One atom of each set of equivalent atoms:
Zr 0.250 0.250 0.250 x8
Si 0.000 0.000 0.000 x4
P 0.000 0.000 0.500 x4

[28]
# ZrSi2P

Crystalline ZrSi2P at its relaxed geometry (PBE-GGA, Alexandria via LeMat-Bulk).

Calculated values
**Energy relative to the elements, uncorrected**: -289 meV/atom
**E_tot**: -51.9 eV for the cell shown

Cell: 3.268 4.557 8.514 Å, 90.00 90.00 90.00°
Space group Immm (No. 71)
One atom of each set of equivalent atoms:
Zr 0.000 0.000 0.000 x2
Si 0.000 0.500 0.219 x4
P 0.000 0.000 0.500 x2

[29]
# Zr2SiP

Crystalline Zr2SiP at its relaxed geometry (PBE-GGA, Alexandria via LeMat-Bulk).

Calculated values
**Energy relative to the elements, uncorrected**: -976 meV/atom
**E_tot**: -63.7 eV for the cell shown
**Energy above the most stable polymorph in this dataset**: 50.6 meV per atom

Cell: 3.936 3.667 9.638 Å, 90.00 90.00 90.00°
Space group Amm2 (No. 38)
One atom of each set of equivalent atoms:
Zr 0.000 0.000 0.000 x2
Zr 0.500 0.000 0.283 x2
Si 0.000 0.000 0.721 x2
P 0.500 0.000 0.562 x2

[30]
# ZrSiP2

Crystalline ZrSiP2 at its relaxed geometry (PBE-GGA, Alexandria via LeMat-Bulk).

Calculated values
**Energy relative to the elements, uncorrected**: -356 meV/atom
**E_tot**: -52.4 eV for the cell shown

Cell: 3.336 4.540 8.292 Å, 90.00 90.00 90.00°
Space group Imm2 (No. 44)
One atom of each set of equivalent atoms:
Zr 0.000 0.000 0.000 x2
Si 0.000 0.500 0.225 x2
P 0.000 0.000 0.520 x2
P 0.000 0.500 0.784 x2